Compound: SmVClO4
Source: Alexandria
Functional: GGA+U
Structure: relaxed

Its symmetry is C2/m, No. 12. The value obtained for the total energy is -7.0472 eV/atom. The crystal system is monoclinic. For the density of states at the Fermi level, the calculation gives 0.00 states/eV per cell.

a = 6.659 Å, b = 6.659 Å, c = 6.948 Å
α = 100.46°, β = 100.46°, γ = 61.34°
Element x y z (fractional)
Sm1 0.210 0.210 0.350
Sm2 0.790 0.790 0.650
V1 0.144 0.144 0.778
V2 0.856 0.856 0.222
Cl1 0.476 0.476 0.630
Cl2 0.524 0.524 0.370
O1 0.004 0.611 0.354
O2 0.010 0.010 0.254
O3 0.213 0.213 0.021
O4 0.389 0.996 0.646
O5 0.611 0.004 0.354
O6 0.787 0.787 0.979
O7 0.990 0.990 0.746
O8 0.996 0.389 0.646